An optimized crystal structure of PuNi2Ru. Source: the Alexandria database, functional PBE-GGA.

```
4
Lattice="3.8192 0.0000 0.0000 0.0000 3.8192 0.0000 0.0000 0.0000 4.0538" Properties=species:S:1:pos:R:3 pbc="T T T"
Pu 0.0000 0.0000 0.0000
Ni 0.0000 1.9096 2.0269
Ni 1.9096 0.0000 2.0269
Ru 1.9096 1.9096 0.0000
```

Results
Formation energy: -108 meV/atom
E above lowest polymorph: 0.000 eV per formula unit

---

An optimized crystal structure of CaMg5Pb6. Source: the Alexandria database, functional PBE-GGA.

```
12
Lattice="4.9161 -5.3138 0.0000 4.9161 5.3138 0.0000 -1.2959 0.0000 6.3090" Properties=species:S:1:pos:R:3 pbc="T T T"
Ca 0.0000 0.0000 0.0000
Mg 4.2681 3.5213 3.1545
Mg 4.9161 1.6988 0.0000
Mg 4.2681 0.0000 3.1545
Mg 4.9161 -1.6988 0.0000
Mg 4.2681 -3.5213 3.1545
Pb 2.1864 1.8243 1.6274
Pb 1.5463 0.0000 4.6471
Pb 2.1864 -1.8243 1.6274
Pb 6.3499 1.8243 4.6816
Pb 6.9899 0.0000 1.6619
Pb 6.3499 -1.8243 4.6816
```

Results
Formation energy: -118 meV/atom
E above lowest polymorph: 0.116 eV per formula unit

---

An optimized crystal structure of KLi3Co. Source: the Alexandria database, functional PBE-GGA.

```
5
Lattice="5.0520 0.0000 0.0000 0.0000 5.0520 0.0000 0.0000 0.0000 5.0520" Properties=species:S:1:pos:R:3 pbc="T T T"
K 0.0000 0.0000 0.0000
Li 0.0000 2.5260 2.5260
Li 2.5260 0.0000 2.5260
Li 2.5260 2.5260 0.0000
Co 2.5260 2.5260 2.5260
```

Results
Formation energy: 509 meV/atom
E above lowest polymorph: 0.000 eV per formula unit

---

An optimized crystal structure of LiAc2AuN. Source: the Alexandria database, functional PBE-GGA.

```
10
Lattice="7.5968 0.0000 0.0000 0.0000 3.9431 0.0000 -3.0121 0.0000 8.1479" Properties=species:S:1:pos:R:3 pbc="T T T"
Li -0.2498 0.9858 1.8935
Li 4.8346 2.9574 6.2544
Ac 0.6111 2.9574 4.3487
Ac 2.0980 2.9574 0.9016
Ac 2.4867 0.9858 7.2464
Ac 3.9736 0.9858 3.7993
Au -0.9817 0.9858 6.4343
Au 5.5665 2.9574 1.7136
N 1.6863 0.9858 2.6112
N 2.8985 2.9574 5.5367
```

---

| no. | V (Å³/cell) | energy (Ry per atom) |
| --- | --- | --- |
| 1 | 59.1 | -0.6542 |
| 2 | 329.6 | -0.2061 |
| 3 | 128.9 | -0.1676 |
| 4 | 244.1 | -0.3736 |